# 1
! Er2Zn2CuPt5 GGA-PBE optimized geometry; values from VASP
&SYSTEM
  ibrav = 0, nat = 20, ntyp = 4
/
ATOMIC_SPECIES
Er 167.26 Er.upf
Zn 65.41 Zn.upf
Cu 63.55 Cu.upf
Pt 195.08 Pt.upf
ATOMIC_POSITIONS angstrom
Er 1.6653 3.0894 0.0000
Er 3.0894 7.8440 0.0000
Er 6.4199 1.6653 0.0000
Er 7.8440 6.4199 0.0000
Zn 1.1845 5.9391 0.0000
Zn 3.5701 1.1845 0.0000
Zn 5.9391 8.3248 0.0000
Zn 8.3248 3.5701 0.0000
Cu 0.0000 0.0000 0.0000
Cu 4.7546 4.7546 0.0000
Pt 0.0000 4.7546 1.8794
Pt 0.6226 7.6104 1.8794
Pt 1.8989 0.6226 1.8794
Pt 2.8558 5.3772 1.8794
Pt 4.1320 2.8558 1.8794
Pt 4.7546 0.0000 1.8794
Pt 5.3772 6.6535 1.8794
Pt 6.6535 4.1320 1.8794
Pt 7.6104 8.8867 1.8794
Pt 8.8867 1.8989 1.8794
CELL_PARAMETERS angstrom
9.5093 0.0000 0.0000
0.0000 9.5093 0.0000
0.0000 0.0000 3.7588
! ΔE_f   -782 meV per atom
! DOS(E_F)   0.24 states/eV per atom
! Total moment   0.00 μB/cell

# 2
! Cd2Ge2Se GGA-PBE optimized geometry; values from VASP
&SYSTEM
  ibrav = 0, nat = 10, ntyp = 3
/
ATOMIC_SPECIES
Cd 112.41 Cd.upf
Ge 72.64 Ge.upf
Se 78.96 Se.upf
ATOMIC_POSITIONS angstrom
Cd 1.3731 2.4873 0.0000
Cd 2.4873 6.3477 0.0000
Cd 5.2335 1.3731 0.0000
Cd 6.3477 5.2335 0.0000
Ge 0.8796 4.7400 1.9568
Ge 2.9808 0.8796 1.9568
Ge 4.7400 6.8412 1.9568
Ge 6.8412 2.9808 1.9568
Se 0.0000 0.0000 0.0000
Se 3.8604 3.8604 0.0000
CELL_PARAMETERS angstrom
7.7208 0.0000 0.0000
0.0000 7.7208 0.0000
0.0000 0.0000 3.9136
! Distance to the lowest polymorph of the same formula   0.0132 eV per atom
! DOS(E_F)   0.42 states/eV per atom
! Total moment   0.00 μB/cell
! Formation energy (no corrections)   185 meV per atom

# 3
! Sm12Tm5Th GGA-PBE optimized geometry; values from VASP
&SYSTEM
  ibrav = 0, nat = 18, ntyp = 3
/
ATOMIC_SPECIES
Sm 150.36 Sm.upf
Tm 168.93 Tm.upf
Th 232.04 Th.upf
ATOMIC_POSITIONS angstrom
Sm 2.5253 2.4986 2.5397
Sm 7.6035 5.1220 0.0000
Sm 5.0766 2.5156 0.0000
Sm 2.5253 -2.4986 2.5397
Sm 7.6035 2.4982 2.5397
Sm 5.0766 -2.5156 0.0000
Sm 10.1305 2.5156 0.0000
Sm 7.6035 -2.4982 2.5397
Sm 12.6818 2.4986 2.5397
Sm 10.1305 -2.5156 0.0000
Sm 7.6035 -5.1220 0.0000
Sm 12.6818 -2.4986 2.5397
Tm 0.0000 0.0000 2.5397
Tm 2.5424 0.0000 0.0000
Tm 5.1038 0.0000 2.5397
Tm 10.1033 0.0000 2.5397
Tm 12.6647 0.0000 0.0000
Th 7.6035 0.0000 0.0000
CELL_PARAMETERS angstrom
7.6035 -7.6156 0.0000
7.6035 7.6156 0.0000
0.0000 0.0000 5.0793
! ΔE_f   27 meV per atom
! DOS(E_F)   1.49 states/eV per atom
! Total moment   0.00 μB/cell

# 4
! Rb2LiZrBr6 GGA-PBE optimized geometry; values from VASP
&SYSTEM
  ibrav = 0, nat = 20, ntyp = 4
/
ATOMIC_SPECIES
Rb 85.47 Rb.upf
Li 6.94 Li.upf
Zr 91.22 Zr.upf
Br 79.90 Br.upf
ATOMIC_POSITIONS angstrom
Rb 0.0000 0.0000 4.7899
Rb 0.0000 0.0000 11.3477
Rb 0.0000 0.0000 27.1232
Rb 0.0000 0.0000 33.6811
Li 0.0000 0.0000 16.0138
Li 0.0000 0.0000 22.4572
Zr 0.0000 0.0000 0.0000
Zr 0.0000 0.0000 19.2355
Br -1.9069 -1.1010 17.6507
Br 0.0000 -2.2440 14.3952
Br -1.9434 1.1220 14.3952
Br -1.9434 -1.1220 24.0758
Br 0.0000 -2.2019 20.8203
Br -1.9069 1.1010 20.8203
Br 1.9069 -1.1010 17.6507
Br 0.0000 2.2019 17.6507
Br 1.9434 1.1220 14.3952
Br 1.9434 -1.1220 24.0758
Br 0.0000 2.2440 24.0758
Br 1.9069 1.1010 20.8203
CELL_PARAMETERS angstrom
3.8612 2.2293 12.8237
-3.8612 2.2293 12.8237
0.0000 -4.4586 12.8237
! Distance to the lowest polymorph of the same formula   0.0000 eV per atom
! DOS(E_F)   0.55 states/eV per atom
! Total moment   2.00 μB/cell
! Formation energy (no corrections)   -1518 meV per atom

# 5
! CaTcRh GGA-PBE optimized geometry; values from VASP
&SYSTEM
  ibrav = 0, nat = 6, ntyp = 3
/
ATOMIC_SPECIES
Ca 40.08 Ca.upf
Tc 98.00 Tc.upf
Rh 102.91 Rh.upf
ATOMIC_POSITIONS angstrom
Ca -0.2955 0.0000 1.8383
Ca 7.1367 0.0000 4.3666
Tc -0.6789 0.0000 5.7262
Tc 7.5201 0.0000 0.4788
Rh 2.7488 0.0000 2.0554
Rh 4.0924 0.0000 4.1496
CELL_PARAMETERS angstrom
5.3706 -1.9476 0.0000
5.3706 1.9476 0.0000
-3.9000 0.0000 6.2049
! Distance to the lowest polymorph of the same formula   0.1376 eV per atom
! ΔE_f   35 meV per atom
! DOS(E_F)   0.75 states/eV per atom
! Total moment   0.00 μB/cell

# 6
! AcPr2RhN4 GGA-PBE optimized geometry; values from VASP
&SYSTEM
  ibrav = 0, nat = 16, ntyp = 4
/
ATOMIC_SPECIES
Ac 227.00 Ac.upf
Pr 140.91 Pr.upf
Rh 102.91 Rh.upf
N 14.01 N.upf
ATOMIC_POSITIONS angstrom
Ac 1.8315 4.7184 9.1465
Ac 1.8315 -4.7184 3.0488
Pr 1.8315 1.6050 6.6550
Pr 1.8315 1.6050 11.6379
Pr 1.8315 -1.6050 0.5574
Pr 1.8315 -1.6050 5.5403
Rh 1.8315 4.2375 3.0488
Rh 1.8315 -4.2375 9.1465
N 0.0000 0.0000 0.0000
N 0.0000 0.0000 6.0977
N 1.8315 2.7775 1.5884
N 1.8315 2.7775 4.5093
N 1.8315 0.9598 9.1465
N 1.8315 -0.9598 3.0488
N 1.8315 -2.7775 7.6860
N 1.8315 -2.7775 10.6069
CELL_PARAMETERS angstrom
1.8315 -6.1112 0.0000
1.8315 6.1112 0.0000
0.0000 0.0000 12.1953
! DOS(E_F)   0.42 states/eV per atom
! Total moment   0.00 μB/cell
! Formation energy (no corrections)   -759 meV per atom

# 7
! KVHg GGA-PBE optimized geometry; values from VASP
&SYSTEM
  ibrav = 0, nat = 12, ntyp = 3
/
ATOMIC_SPECIES
K 39.10 K.upf
V 50.94 V.upf
Hg 200.59 Hg.upf
ATOMIC_POSITIONS angstrom
K 1.9423 0.7653 0.8618
K 3.6707 2.2958 5.7675
K 7.5554 0.7653 4.0439
K 9.2838 2.2958 8.9497
V 0.5234 0.7653 4.2578
V 5.0897 2.2958 9.1635
V 6.1365 0.7653 0.6479
V 10.7027 2.2958 5.5537
Hg 0.9642 0.7653 7.3882
Hg 4.6489 2.2958 2.4825
Hg 6.5772 0.7653 7.3290
Hg 10.2620 2.2958 2.4232
CELL_PARAMETERS angstrom
11.2261 0.0000 0.0000
0.0000 3.0611 0.0000
0.0000 0.0000 9.8115
! Distance to the lowest polymorph of the same formula   0.1829 eV per atom
! ΔE_f   480 meV per atom
! DOS(E_F)   0.46 states/eV per atom
! Total moment   0.00 μB/cell

# 8
! Fe2Co2Re GGA-PBE optimized geometry; values from VASP
&SYSTEM
  ibrav = 0, nat = 5, ntyp = 3
/
ATOMIC_SPECIES
Fe 55.84 Fe.upf
Co 58.93 Co.upf
Re 186.21 Re.upf
ATOMIC_POSITIONS angstrom
Fe 1.6476 0.0000 2.7792
Fe 0.0000 1.6476 2.7792
Co 0.0000 0.0000 1.0980
Co 0.0000 0.0000 10.0188
Re 0.0000 0.0000 5.5584
CELL_PARAMETERS angstrom
-1.6476 1.6476 5.5584
1.6476 -1.6476 5.5584
1.6476 1.6476 -5.5584
! Distance to the lowest polymorph of the same formula   0.2985 eV per atom
! ΔE_f   500 meV per atom
! DOS(E_F)   1.30 states/eV per atom
! Total moment   2.33 μB/cell

# 9
! YTm2ReO8 GGA-PBE optimized geometry; values from VASP
&SYSTEM
  ibrav = 0, nat = 12, ntyp = 4
/
ATOMIC_SPECIES
Y 88.91 Y.upf
Tm 168.93 Tm.upf
Re 186.21 Re.upf
O 16.00 O.upf
ATOMIC_POSITIONS angstrom
Y 0.0000 0.0000 0.0000
Tm 3.5132 0.0000 1.6592
Tm 3.5132 0.0000 5.0439
Re 0.0000 0.0000 3.3515
O 3.5132 2.2412 1.9650
O 3.5132 2.2412 4.7381
O 1.9068 0.0000 3.3515
O 2.1738 0.0000 0.0000
O 4.8525 0.0000 0.0000
O 5.1195 0.0000 3.3515
O 3.5132 -2.2412 1.9650
O 3.5132 -2.2412 4.7381
CELL_PARAMETERS angstrom
3.5132 -3.5482 0.0000
3.5132 3.5482 0.0000
0.0000 0.0000 6.7031
! DOS(E_F)   0.00 states/eV per atom
! Total moment   0.00 μB/cell
! Formation energy (no corrections)   -2822 meV per atom

# 10
! Ac3La4Ag4 GGA-PBE optimized geometry; values from VASP
&SYSTEM
  ibrav = 0, nat = 11, ntyp = 3
/
ATOMIC_SPECIES
Ac 227.00 Ac.upf
La 138.91 La.upf
Ag 107.87 Ag.upf
ATOMIC_POSITIONS angstrom
Ac 0.0000 0.0000 0.0000
Ac 2.6559 0.0000 6.6641
Ac 0.0000 4.0296 1.8023
La 2.6559 1.7563 -2.9486
La 2.6559 1.7563 2.9486
La 0.0000 2.2733 5.5179
La 0.0000 2.2733 11.4150
Ag 0.0000 0.0000 3.4019
Ag 2.6559 2.5755 0.0000
Ag 0.0000 1.4542 8.4664
Ag 0.0000 0.0000 13.5310
CELL_PARAMETERS angstrom
-2.6559 4.0296 8.4664
2.6559 -4.0296 8.4664
2.6559 4.0296 -8.4664
! ΔE_f   -122 meV per atom
! DOS(E_F)   1.10 states/eV per atom
! Total moment   0.00 μB/cell

# 11
! Ta2CoP GGA-PBE optimized geometry; values from VASP
&SYSTEM
  ibrav = 0, nat = 4, ntyp = 3
/
ATOMIC_SPECIES
Ta 180.95 Ta.upf
Co 58.93 Co.upf
P 30.97 P.upf
ATOMIC_POSITIONS angstrom
Ta 0.0000 0.0000 0.0000
Ta 1.4117 1.4117 2.3353
Co 0.0000 0.0000 4.3607
P 1.4117 1.4117 5.4195
CELL_PARAMETERS angstrom
2.8233 0.0000 0.0000
0.0000 2.8233 0.0000
0.0000 0.0000 7.3269
! ΔE_f   -193 meV per atom
! DOS(E_F)   0.87 states/eV per atom
! Total moment   0.00 μB/cell

# 12
! K2HW GGA-PBE optimized geometry; values from VASP
&SYSTEM
  ibrav = 0, nat = 4, ntyp = 3
/
ATOMIC_SPECIES
K 39.10 K.upf
H 1.01 H.upf
W 183.84 W.upf
ATOMIC_POSITIONS angstrom
K 2.0430 2.0430 2.0430
K 6.1291 6.1291 6.1291
H 0.0000 0.0000 0.0000
W 4.0861 4.0861 4.0861
CELL_PARAMETERS angstrom
0.0000 4.0861 4.0861
4.0861 0.0000 4.0861
4.0861 4.0861 0.0000
! Distance to the lowest polymorph of the same formula   0.4652 eV per atom
! DOS(E_F)   0.03 states/eV per atom
! Total moment   5.01 μB/cell

# 13
! Li7InSn4 GGA-PBE optimized geometry; values from VASP
&SYSTEM
  ibrav = 0, nat = 12, ntyp = 3
/
ATOMIC_SPECIES
Li 6.94 Li.upf
In 114.82 In.upf
Sn 118.71 Sn.upf
ATOMIC_POSITIONS angstrom
Li 0.0000 0.0000 0.0000
Li -1.6738 0.0000 4.7124
Li 2.8764 0.0000 1.1414
Li 1.9195 0.0000 5.1463
Li 5.2708 0.0000 2.7798
Li 4.3139 0.0000 6.7847
Li 8.8641 0.0000 3.2137
In 6.6924 0.0000 0.0000
Sn -3.9472 0.0000 6.2860
Sn 0.4366 0.0000 2.7881
Sn 6.7538 0.0000 5.1381
Sn 11.1375 0.0000 1.6402
CELL_PARAMETERS angstrom
6.6924 -2.5115 0.0000
6.6924 2.5115 0.0000
-6.1944 0.0000 7.9261
! ΔE_f   -238 meV per atom
! DOS(E_F)   0.22 states/eV per atom
! Total moment   0.00 μB/cell

# 14
! ScFeIr2C GGA-PBE optimized geometry; values from VASP
&SYSTEM
  ibrav = 0, nat = 5, ntyp = 4
/
ATOMIC_SPECIES
Sc 44.96 Sc.upf
Fe 55.84 Fe.upf
Ir 192.22 Ir.upf
C 12.01 C.upf
ATOMIC_POSITIONS angstrom
Sc 0.0000 0.0000 0.0000
Fe 2.0474 2.0474 0.0000
Ir 0.0000 2.0474 1.9719
Ir 2.0474 0.0000 1.9719
C 2.0474 2.0474 1.9719
CELL_PARAMETERS angstrom
4.0947 0.0000 0.0000
0.0000 4.0947 0.0000
0.0000 0.0000 3.9438
! ΔE_f   -271 meV per atom
! DOS(E_F)   0.54 states/eV per atom
! Total moment   1.01 μB/cell

# 15
! K3Dy2TiSe6 GGA-PBE optimized geometry; values from VASP
&SYSTEM
  ibrav = 0, nat = 12, ntyp = 4
/
ATOMIC_SPECIES
K 39.10 K.upf
Dy 162.50 Dy.upf
Ti 47.87 Ti.upf
Se 78.96 Se.upf
ATOMIC_POSITIONS angstrom
K 0.0000 0.0000 0.0000
K 3.5545 2.1038 0.0000
K 3.5545 -2.1038 0.0000
Dy 2.3647 4.1113 3.8294
Dy 2.3647 -4.1113 3.8294
Ti 2.3647 0.0000 3.8294
Se 1.2477 1.9388 2.3019
Se 0.1306 0.0000 5.3639
Se 1.2477 -1.9388 2.3019
Se 3.4816 1.9388 5.3569
Se 4.5988 0.0000 2.2949
Se 3.4816 -1.9388 5.3569
CELL_PARAMETERS angstrom
3.5545 -6.1592 0.0000
3.5545 6.1592 0.0000
-2.3796 0.0000 7.6588
! DOS(E_F)   0.48 states/eV per atom
! Total moment   1.00 μB/cell
! Formation energy (no corrections)   -1538 meV per atom

# 16
! CaCrFeP2 GGA-PBE optimized geometry; values from VASP
&SYSTEM
  ibrav = 0, nat = 5, ntyp = 4
/
ATOMIC_SPECIES
Ca 40.08 Ca.upf
Cr 52.00 Cr.upf
Fe 55.84 Fe.upf
P 30.97 P.upf
ATOMIC_POSITIONS angstrom
Ca 0.0000 0.0000 0.0000
Cr 1.9304 0.0000 2.5373
Fe 0.0000 1.9304 2.5373
P 0.0000 0.0000 3.7441
P 0.0000 0.0000 6.4049
CELL_PARAMETERS angstrom
-1.9304 1.9304 5.0745
1.9304 -1.9304 5.0745
1.9304 1.9304 -5.0745
! ΔE_f   -736 meV per atom
! DOS(E_F)   0.45 states/eV per atom
! Total moment   2.57 μB/cell

# 17
! Pa2TlBi GGA-PBE optimized geometry; values from VASP
&SYSTEM
  ibrav = 0, nat = 4, ntyp = 3
/
ATOMIC_SPECIES
Pa 231.04 Pa.upf
Tl 204.38 Tl.upf
Bi 208.98 Bi.upf
ATOMIC_POSITIONS angstrom
Pa 0.0000 0.0000 2.0159
Pa 0.0000 0.0000 6.3366
Tl 1.8079 1.8079 4.1762
Bi 1.8079 1.8079 0.0000
CELL_PARAMETERS angstrom
3.6158 0.0000 0.0000
0.0000 3.6158 0.0000
0.0000 0.0000 8.3525
! Distance to the lowest polymorph of the same formula   0.0008 eV per atom
! ΔE_f   140 meV per atom
! DOS(E_F)   2.19 states/eV per atom
! Total moment   1.36 μB/cell

# 18
! K2TlTc GGA-PBE optimized geometry; values from VASP
&SYSTEM
  ibrav = 0, nat = 4, ntyp = 3
/
ATOMIC_SPECIES
K 39.10 K.upf
Tl 204.38 Tl.upf
Tc 98.00 Tc.upf
ATOMIC_POSITIONS angstrom
K 0.0000 0.0000 0.0000
K 0.0000 2.9833 2.0733
Tl 0.0000 0.0000 4.3406
Tc 2.3732 0.0000 3.0517
CELL_PARAMETERS angstrom
-2.3732 2.9833 5.2078
2.3732 -2.9833 5.2078
2.3732 2.9833 -5.2078
! Distance to the lowest polymorph of the same formula   0.1685 eV per atom
! ΔE_f   839 meV per atom
! DOS(E_F)   0.83 states/eV per atom
! Total moment   2.63 μB/cell

# 19
! ZrSi2Ni6 GGA-PBE optimized geometry; values from VASP
&SYSTEM
  ibrav = 0, nat = 9, ntyp = 3
/
ATOMIC_SPECIES
Zr 91.22 Zr.upf
Si 28.09 Si.upf
Ni 58.69 Ni.upf
ATOMIC_POSITIONS angstrom
Zr 0.0000 0.0000 0.0000
Si 0.0000 0.0000 2.7166
Si 0.0000 0.0000 5.4196
Ni 1.9960 -1.2583 2.5221
Ni 1.9960 1.7478 0.0000
Ni 1.9960 1.2583 2.5221
Ni 0.0000 2.2922 1.5460
Ni 0.0000 1.8027 4.0681
Ni 0.0000 4.8088 1.5460
CELL_PARAMETERS angstrom
-1.9960 3.5505 4.0681
1.9960 -3.5505 4.0681
1.9960 3.5505 -4.0681
! Distance to the lowest polymorph of the same formula   0.0704 eV per atom
! DOS(E_F)   0.69 states/eV per atom
! Total moment   0.00 μB/cell
! Formation energy (no corrections)   -349 meV per atom

# 20
! CdPF3 GGA-PBE optimized geometry; values from VASP
&SYSTEM
  ibrav = 0, nat = 5, ntyp = 3
/
ATOMIC_SPECIES
Cd 112.41 Cd.upf
P 30.97 P.upf
F 19.00 F.upf
ATOMIC_POSITIONS angstrom
Cd 0.0000 0.0000 0.0000
P 2.2146 2.2146 2.2146
F 0.0000 0.0000 2.2146
F 0.0000 2.2146 0.0000
F 2.2146 0.0000 0.0000
CELL_PARAMETERS angstrom
4.4292 0.0000 0.0000
0.0000 4.4292 0.0000
0.0000 0.0000 4.4292
! Distance to the lowest polymorph of the same formula   0.1176 eV per atom
! DOS(E_F)   1.52 states/eV per atom
! Total moment   2.00 μB/cell
! Formation energy (no corrections)   -895 meV per atom

Ordered total DFT energy (no corrections) results: -107.59, -27.25, -85.93, -75.22, -39.23, -120.78, -36.31, -41.09, -101.39, -44.78, -36.99, -11.69, -35.00, -43.10, -59.76, -34.59, -24.68, -11.57, -57.23, -16.42; unit eV for the cell shown.